(1)
The following is a DFT calculation (PBE) of TbSmPa2P4 after structural relaxation.

Computed properties:
As for the crystal system: monoclinic. The calculation puts the energy of formation from the pure elements at -1450 meV/atom. The calculation puts the total magnetization at 0.00 μB/cell. Its final energy is -7.70 eV/atom.

Cell: 6.9456 4.0105 6.9481 Å, 90.00 109.47 90.00°
Fractional positions:
Tb (0.0000, 0.0000, 0.0000)
Sm (0.5000, 0.5000, 0.0000)
Pa (0.0000, 0.5000, 0.5000)
Pa (0.5000, 0.0000, 0.5000)
P (0.2444, 0.0000, 0.7401)
P (0.2505, 0.5000, 0.2581)
P (0.7495, 0.5000, 0.7419)
P (0.7556, 0.0000, 0.2599)

(2)
The following is a DFT calculation (PBE) of Tb2SmPa3P6 after structural relaxation.

Computed properties:
As for the crystal system: monoclinic. The calculation puts the energy of formation from the pure elements at -1454 meV/atom. The calculation puts the total magnetization at 0.00 μB/cell. Its final energy is -7.70 eV/atom.

Cell: 6.9350 6.9350 6.9356 Å, 99.60 99.60 120.00°
Fractional positions:
Tb (0.1668, 0.8332, 0.0000)
Tb (0.8332, 0.1668, 0.0000)
Sm (0.5000, 0.5000, 0.0000)
Pa (0.0000, 0.0000, 0.5000)
Pa (0.3340, 0.6660, 0.5000)
Pa (0.6660, 0.3340, 0.5000)
P (0.0778, 0.4139, 0.7418)
P (0.2496, 0.2496, 0.2573)
P (0.4139, 0.0778, 0.7418)
P (0.5861, 0.9222, 0.2582)
P (0.7504, 0.7504, 0.7427)
P (0.9222, 0.5861, 0.2582)

(3)
The following is a DFT calculation (PBE) of TbSm2PaP4 after structural relaxation.

Computed properties:
As for the crystal system: monoclinic. The calculation puts the energy of formation from the pure elements at -1531 meV/atom. The calculation puts the total magnetization at 0.00 μB/cell. Its final energy is -7.18 eV/atom.

Cell: 6.9908 4.0498 7.0143 Å, 90.00 109.43 90.00°
Fractional positions:
Tb (0.0000, 0.0000, 0.0000)
Sm (0.0000, 0.5000, 0.5000)
Sm (0.5000, 0.0000, 0.5000)
Pa (0.5000, 0.5000, 0.0000)
P (0.2526, 0.5000, 0.2405)
P (0.2572, 0.0000, 0.7606)
P (0.7428, 0.0000, 0.2394)
P (0.7474, 0.5000, 0.7595)

(4)
The following is a DFT calculation (PBE) of Tb2Sm3PaP6 after structural relaxation.

Computed properties:
As for the crystal system: monoclinic. The calculation puts the energy of formation from the pure elements at -1566 meV/atom. The calculation puts the total magnetization at 0.00 μB/cell. Its final energy is -7.01 eV/atom.

Cell: 7.0119 7.0119 7.0242 Å, 99.56 99.56 120.00°
Fractional positions:
Tb (0.1662, 0.8338, 0.0000)
Tb (0.8338, 0.1662, 0.0000)
Sm (0.0000, 0.0000, 0.5000)
Sm (0.3316, 0.6684, 0.5000)
Sm (0.6684, 0.3316, 0.5000)
Pa (0.5000, 0.5000, 0.0000)
P (0.0932, 0.4198, 0.7587)
P (0.2544, 0.2544, 0.2410)
P (0.4198, 0.0932, 0.7587)
P (0.5802, 0.9068, 0.2413)
P (0.7456, 0.7456, 0.7590)
P (0.9068, 0.5802, 0.2413)